(1)
DFT (PBE) results for a relaxed structure of CdCoAg.

Output
Its space group is F-43m. As for the formation energy: 582 meV/atom. The distance to the lowest polymorph of the same formula comes out at 0.279 eV per atom.

```
data_CdCoAg
_cell_length_a 4.332
_cell_length_b 4.332
_cell_length_c 4.332
_cell_angle_alpha 60.00
_cell_angle_beta 60.00
_cell_angle_gamma 60.00
_space_group_name_H-M_alt 'P 1'
_space_group_IT_number 1
_space_group_name_Hall 'P 1'
loop_
_atom_site_label
_atom_site_fract_x
_atom_site_fract_y
_atom_site_fract_z
Co1 0.750 0.750 0.750
Ag1 0.000 0.000 0.000
Cd1 0.500 0.500 0.500
```



(2)
DFT (PBE) results for a relaxed structure of CdCoAg.

Output
Its space group is Imm2. As for the formation energy: 348 meV/atom. The distance to the lowest polymorph of the same formula comes out at 0.046 eV per atom.

```
data_CdCoAg
_cell_length_a 5.011
_cell_length_b 5.011
_cell_length_c 5.011
_cell_angle_alpha 146.73
_cell_angle_beta 133.99
_cell_angle_gamma 57.95
_space_group_name_H-M_alt 'P 1'
_space_group_IT_number 1
_space_group_name_Hall 'P 1'
loop_
_atom_site_label
_atom_site_fract_x
_atom_site_fract_y
_atom_site_fract_z
Cd1 0.328 0.328 0.000
Ag1 0.007 0.007 0.000
Co1 0.665 0.665 0.000
```



Question: The lowest distance to the lowest polymorph of the same formula belongs to which entry?
Answer: number 2



Question: Number 2 is which compound?
Answer: CdCoAg